[1]
Computed, not measured: a relaxed Pr8Si3Cl4 crystal at the GGA-PBE level of DFT.

space-group type = R-3m
VASP energy = -77.3 eV per formula unit
density of states at the Fermi level = 0.575 states/eV per atom
crystal system = trigonal
magnetic moment = 0.00 μB/f.u.

Cell: 8.4491 8.4491 8.9493 Å, 61.83 61.83 60.00°
Element x y z (fractional)
1 Pr 0.7628 0.7628 0.7115
2 Pr 0.2535 0.7752 0.7178
3 Pr 0.2535 0.2535 0.7178
4 Pr 0.7752 0.2535 0.7178
5 Pr 0.7465 0.2248 0.2822
6 Pr 0.2372 0.2372 0.2885
7 Pr 0.2248 0.7465 0.2822
8 Pr 0.7465 0.7465 0.2822
9 Si 0.5000 0.0000 0.5000
10 Si 0.0000 0.5000 0.5000
11 Si 0.0000 0.0000 0.5000
12 Cl 0.0000 0.0000 0.0000
13 Cl 0.5000 0.5000 0.5000
14 Cl 0.3607 0.3607 0.9178
15 Cl 0.6393 0.6393 0.0822

***

[2]
Computed, not measured: a relaxed LaPrZn4 crystal at the GGA-PBE level of DFT.

space-group type = Immm
VASP energy = -16.9 eV per formula unit
energy of formation from the pure elements = -342.2 meV/atom
density of states at the Fermi level = 0.939 states/eV per atom
crystal system = orthorhombic
magnetic moment = 0.00 μB/f.u.
distance to the lowest polymorph of the same formula = 0 meV per atom

Cell: 4.6539 5.8812 5.8812 Å, 75.49 66.69 66.69°
Element x y z (fractional)
1 Zn 0.3331 0.4162 0.9175
2 Zn 0.3331 0.9175 0.4162
3 Zn 0.6669 0.5838 0.0825
4 Zn 0.6669 0.0825 0.5838
5 Pr 0.0000 0.0000 0.0000
6 La 0.0000 0.5000 0.5000

***

[3]
Computed, not measured: a relaxed DyEr2InC crystal at the GGA-PBE level of DFT.

space-group type = P4/mmm
VASP energy = -28.3 eV per formula unit
energy of formation from the pure elements = -526.7 meV/atom
density of states at the Fermi level = 0.195 states/eV per atom
crystal system = tetragonal
magnetic moment = 0.00 μB/f.u.

Cell: 4.9220 4.8690 4.8690 Å, 90.00 90.00 90.00°
Element x y z (fractional)
1 Er 0.0000 0.0000 0.5000
2 Er 0.0000 0.5000 0.0000
3 Dy 0.5000 0.0000 0.0000
4 In 0.5000 0.5000 0.5000
5 C 0.0000 0.0000 0.0000

***

[4]
Computed, not measured: a relaxed CaMo2Rh crystal at the GGA-PBE level of DFT.

space-group type = I4/mmm
VASP energy = -29.3 eV per formula unit
energy of formation from the pure elements = 418.7 meV/atom
density of states at the Fermi level = 0.977 states/eV per atom
crystal system = tetragonal
magnetic moment = 0.00 μB/f.u.
distance to the lowest polymorph of the same formula = 218 meV per atom

Cell: 5.5363 5.5363 5.5363 Å, 139.75 139.75 58.24°
Element x y z (fractional)
1 Ca 0.7500 0.2500 0.5000
2 Mo 0.5000 0.5000 0.0000
3 Mo 0.0000 0.0000 0.0000
4 Rh 0.2500 0.7500 0.5000

***

[5]
Computed, not measured: a relaxed RuPt3Rh4 crystal at the GGA-PBE level of DFT.

space-group type = C2/m
VASP energy = -54.4 eV per formula unit
energy of formation from the pure elements = 297.5 meV/atom
density of states at the Fermi level = 1.827 states/eV per atom
crystal system = monoclinic
magnetic moment = 0.00 μB/f.u.
distance to the lowest polymorph of the same formula = 0 meV per atom

Cell: 2.6936 4.4616 13.5109 Å, 127.05 95.72 90.00°
Element x y z (fractional)
1 Ru 0.5000 0.0000 0.0000
2 Rh 0.7117 0.6569 0.4234
3 Rh 0.1014 0.2501 0.2028
4 Rh 0.2883 0.3431 0.5766
5 Rh 0.8986 0.7499 0.7972
6 Pt 0.1657 0.9905 0.3315
7 Pt 0.0000 0.5000 0.0000
8 Pt 0.8343 0.0095 0.6685

***

[6]
Computed, not measured: a relaxed HfBeNbRe crystal at the GGA-PBE level of DFT.

space-group type = F-43m
VASP energy = -36.7 eV per formula unit
energy of formation from the pure elements = -120.8 meV/atom
density of states at the Fermi level = 0.256 states/eV per atom
crystal system = cubic
magnetic moment = 0.00 μB/f.u.

Cell: 4.5135 4.5135 4.5135 Å, 60.00 60.00 60.00°
Element x y z (fractional)
1 Hf 0.2500 0.2500 0.2500
2 Nb 0.7500 0.7500 0.7500
3 Be 0.5000 0.5000 0.5000
4 Re 0.0000 0.0000 0.0000

***

[7]
Computed, not measured: a relaxed Sm2TlSi crystal at the GGA-PBE level of DFT.

space-group type = P4/mmm
VASP energy = -18.9 eV per formula unit
density of states at the Fermi level = 0.812 states/eV per atom
crystal system = tetragonal
magnetic moment = 0.00 μB/f.u.

Cell: 3.8533 3.8533 6.9486 Å, 90.00 90.00 90.00°
Element x y z (fractional)
1 Si 0.5000 0.5000 0.0000
2 Sm 0.0000 0.0000 0.7805
3 Sm 0.0000 0.0000 0.2195
4 Tl 0.5000 0.5000 0.5000

***

[8]
Computed, not measured: a relaxed NbInCu2Au crystal at the GGA-PBE level of DFT.

space-group type = P4/mmm
VASP energy = -19.1 eV per formula unit
energy of formation from the pure elements = 1032.5 meV/atom
density of states at the Fermi level = 0.684 states/eV per atom
crystal system = tetragonal
magnetic moment = 1.14 μB/f.u.

Cell: 4.6780 5.0227 4.6780 Å, 90.00 90.00 90.00°
Site moments in Bohr magnetons follow the coordinates.
Element x y z (fractional)
1 Au 0.0000 0.0000 0.0000  -0.01
2 Cu 0.0000 0.0000 0.5000  -0.04
3 Cu 0.5000 0.0000 0.0000  -0.01
4 Nb 0.5000 0.5000 0.5000  1.05
5 In 0.0000 0.5000 0.0000  -0.04

***

[9]
Computed, not measured: a relaxed CsZnBiPd2 crystal at the GGA-PBE level of DFT.

space-group type = P4/mmm
VASP energy = -15.1 eV per formula unit
energy of formation from the pure elements = 261.5 meV/atom
density of states at the Fermi level = 0.563 states/eV per atom
crystal system = tetragonal
magnetic moment = 0.00 μB/f.u.

Cell: 5.1587 5.2425 5.1587 Å, 90.00 90.00 90.00°
Element x y z (fractional)
1 Pd 0.0000 0.0000 0.5000
2 Pd 0.5000 0.0000 0.0000
3 Bi 0.0000 0.5000 0.0000
4 Zn 0.0000 0.0000 0.0000
5 Cs 0.5000 0.5000 0.5000

***

[10]
Computed, not measured: a relaxed VCo2N crystal at the GGA-PBE level of DFT.

space-group type = R-3m
VASP energy = -30.2 eV per formula unit
density of states at the Fermi level = 0.891 states/eV per atom
crystal system = trigonal
magnetic moment = 0.00 μB/f.u.

Cell: 2.6927 2.6927 7.0506 Å, 78.99 78.99 60.00°
Element x y z (fractional)
1 Co 0.1131 0.1131 0.6606
2 Co 0.8869 0.8869 0.3394
3 V 0.0000 0.0000 0.0000
4 N 0.5000 0.5000 0.5000

***

[11]
Computed, not measured: a relaxed Pr4PRhI2 crystal at the GGA-PBE level of DFT.

space-group type = P2/m
VASP energy = -43.7 eV per formula unit
density of states at the Fermi level = 0.764 states/eV per atom
crystal system = monoclinic
magnetic moment = 0.00 μB/f.u.

Cell: 4.1530 7.6609 8.2048 Å, 106.36 90.00 90.00°
Element x y z (fractional)
1 Pr 0.0000 0.7188 0.1865
2 Pr 0.5000 0.7704 0.8089
3 Pr 0.5000 0.2296 0.1911
4 Pr 0.0000 0.2812 0.8135
5 P 0.0000 0.0000 0.0000
6 I 0.5000 0.0000 0.5000
7 I 0.0000 0.5000 0.5000
8 Rh 0.5000 0.5000 0.0000

***

[12]
Computed, not measured: a relaxed Cs2CeBi2S6 crystal at the GGA-PBE level of DFT.

space-group type = C2/m
VASP energy = -52.0 eV per formula unit
crystal system = monoclinic
magnetic moment = 0.00 μB/f.u.

Cell: 7.1642 7.1642 8.6289 Å, 98.29 98.29 119.98°
Element x y z (fractional)
1 Cs 0.8304 0.1696 0.0000
2 Cs 0.1696 0.8304 0.0000
3 Bi 0.3324 0.6676 0.5000
4 Bi 0.6676 0.3324 0.5000
5 S 0.6130 0.9386 0.3183
6 S 0.0614 0.3870 0.6817
7 S 0.9386 0.6130 0.3183
8 S 0.2579 0.2579 0.3188
9 S 0.3870 0.0614 0.6817
10 S 0.7421 0.7421 0.6812
11 Ce 0.0000 0.0000 0.5000

***

[13]
Computed, not measured: a relaxed CaSmSnAu crystal at the GGA-PBE level of DFT.

space-group type = F-43m
VASP energy = -17.0 eV per formula unit
energy of formation from the pure elements = -755.8 meV/atom
density of states at the Fermi level = 0.364 states/eV per atom
crystal system = cubic
magnetic moment = 0.00 μB/f.u.

Cell: 5.3087 5.3087 5.3087 Å, 60.00 60.00 60.00°
Element x y z (fractional)
1 Ca 0.5000 0.5000 0.5000
2 Au 0.7500 0.7500 0.7500
3 Sn 0.2500 0.2500 0.2500
4 Sm 0.0000 0.0000 0.0000